Entry from the Alexandria database: a relaxed structure of ZnAs2P (PBE).

Calculated values
density of states at the Fermi level	1.89	states/eV/cell
uncorrected energy	-14.22	eV per formula unit
formation energy from the elements	1.77	eV per formula unit
magnetic moment	0.0	Bohr magnetons per cell
ΔE to the lowest computed polymorph	377	meV per atom

a b c (Å): 3.3315 4.4098 4.7358
angles (deg): 90.00 90.00 90.00
With the nearest neighbours (Å) after each atom.
Atoms (fractional coordinates):
Zn  0.0000  0.0000  0.0000  4 As 2.76, 4 P 2.90
As  0.0000  0.5000  0.5000  4 P 2.76, 4 As 2.90
As  0.5000  0.5000  0.0000  4 Zn 2.76, 4 As 2.90
P  0.5000  0.0000  0.5000  4 As 2.76, 4 Zn 2.90